# PuTa2Nb, optimized geometry, DFT GGA-PBE
# Relative energy among the computed polymorphs   0.0 kJ/mol of formula units
# Spin magnetization   5.3 Bohr magnetons per cell
# Calculated total energy   -11.80 eV/atom
# Space-group type   No. 123
# Density   14.6 Mg/m³
# ΔE_f   0.2243 eV per atom
# D(E_F)   6.30 states/eV per cell
data_PuTa2Nb
_cell_length_a 3.283
_cell_length_b 3.283
_cell_length_c 7.355
_cell_angle_alpha 90.00
_cell_angle_beta 90.00
_cell_angle_gamma 90.00
_space_group_name_H-M_alt 'P 1'
_space_group_IT_number 1
loop_
_space_group_symop_operation_xyz
'x,y,z'
loop_
_atom_site_label
_atom_site_type_symbol
_atom_site_fract_x
_atom_site_fract_y
_atom_site_fract_z
Ta1 Ta 0.000 0.000 0.222
Nb1 Nb 0.500 0.500 0.000
Ta2 Ta 0.000 0.000 0.778
Pu1 Pu 0.500 0.500 0.500



# PuTaNb2, optimized geometry, DFT GGA-PBE
# Relative energy among the computed polymorphs   8.9 kJ/mol of formula units
# Spin magnetization   4.7 Bohr magnetons per cell
# Calculated total energy   -11.41 eV/atom
# Space-group type   No. 123
# Density   13.1 Mg/m³
# ΔE_f   0.1724 eV per atom
# D(E_F)   6.99 states/eV per cell
data_PuTaNb2
_cell_length_a 3.320
_cell_length_b 3.320
_cell_length_c 7.016
_cell_angle_alpha 90.00
_cell_angle_beta 90.00
_cell_angle_gamma 90.00
_space_group_name_H-M_alt 'P 1'
_space_group_IT_number 1
loop_
_space_group_symop_operation_xyz
'x,y,z'
loop_
_atom_site_label
_atom_site_type_symbol
_atom_site_fract_x
_atom_site_fract_y
_atom_site_fract_z
Ta1 Ta 0.500 0.500 0.000
Nb1 Nb 0.000 0.000 0.237
Pu1 Pu 0.500 0.500 0.500
Nb2 Nb 0.000 0.000 0.763



# PuTaNb2, optimized geometry, DFT GGA-PBE
# Relative energy among the computed polymorphs   0.0 kJ/mol of formula units
# Spin magnetization   4.1 Bohr magnetons per cell
# Calculated total energy   -11.43 eV/atom
# Space-group type   No. 225
# Density   13.1 Mg/m³
# ΔE_f   0.1494 eV per atom
# D(E_F)   8.11 states/eV per cell
data_PuTaNb2
_cell_length_a 4.780
_cell_length_b 4.780
_cell_length_c 4.780
_cell_angle_alpha 60.00
_cell_angle_beta 60.00
_cell_angle_gamma 60.00
_space_group_name_H-M_alt 'P 1'
_space_group_IT_number 1
loop_
_space_group_symop_operation_xyz
'x,y,z'
loop_
_atom_site_label
_atom_site_type_symbol
_atom_site_fract_x
_atom_site_fract_y
_atom_site_fract_z
Nb1 Nb 0.750 0.750 0.750
Ta1 Ta 0.000 0.000 0.000
Pu1 Pu 0.500 0.500 0.500
Nb2 Nb 0.250 0.250 0.250